PuNbNi: optimized geometry, PBE.

Geometry as extended XYZ:
```
3
Lattice="0.000 3.028 3.028 3.028 0.000 3.028 3.028 3.028 0.000" Properties=species:S:1:pos:R:3 pbc="T T T"
Pu 0.000 0.000 0.000
Nb 4.542 4.542 4.542
Ni 3.028 3.028 3.028
```

Results
Energy relative to the elements: 53.0 kJ/mol of atoms
DFT total energy: -28.14 eV/cell